Here is Co2Ag2TeO6 after structural relaxation from the Alexandria database. Energies are from GGA+U.

Geometry as CIF:
```
data_Co2Ag2TeO6
_cell_length_a 5.2884
_cell_length_b 9.0008
_cell_length_c 6.3121
_cell_angle_alpha 90.00
_cell_angle_beta 105.67
_cell_angle_gamma 90.00
_space_group_name_H-M_alt 'C 1 2/m 1'
_space_group_IT_number 12
_space_group_name_Hall '-C 2y'
loop_
_atom_site_label
_atom_site_type_symbol
_atom_site_fract_x
_atom_site_fract_y
_atom_site_fract_z
Co1 Co 0.0000 0.1669 0.0000
Ag1 Ag 0.0000 0.1808 0.5000
Te1 Te 0.0000 0.5000 0.0000
O1 O 0.0856 0.0000 0.8271
O2 O 0.1266 0.3172 0.8289
```

Total DFT energy (no corrections) ... -5.0230 eV per atom